Record 1
! Tc2Au PBE relaxed; values from VASP
! relative energy among the computed polymorphs = 0 meV/atom
! space-group type = P-3m1
! E = -7.875 eV/atom
! DOS(E_F) = 1.1 states/eV/f.u.
! formation energy from the elements = 0.1280 eV per atom
&SYSTEM
  ibrav = 0, nat = 3, ntyp = 2
/
ATOMIC_SPECIES
Tc 98.00 Tc.upf
Au 196.97 Au.upf
CELL_PARAMETERS angstrom
2.7883 0.0000 0.0000
-1.3942 2.4148 0.0000
0.0000 0.0000 7.0127
ATOMIC_POSITIONS angstrom
Tc 0.0000 1.6098 2.4869
Tc 1.3942 0.8049 4.5258
Au 0.0000 0.0000 0.0000



Record 2
! SmErPa2Sb4 PBE relaxed; values from VASP
! space-group type = P2/m
! energy relative to the elements, uncorrected = -0.769 eV/atom
! E = -6.365 eV/atom
! DOS(E_F) = 12.2 states/eV/f.u.
&SYSTEM
  ibrav = 0, nat = 8, ntyp = 4
/
ATOMIC_SPECIES
Sm 150.36 Sm.upf
Er 167.26 Er.upf
Pa 231.04 Pa.upf
Sb 121.76 Sb.upf
CELL_PARAMETERS angstrom
7.5870 0.0000 0.0000
0.0000 4.3821 0.0000
-2.5308 0.0000 7.2098
ATOMIC_POSITIONS angstrom
Sm 0.0000 0.0000 0.0000
Er 3.7935 2.1911 0.0000
Pa -1.2654 2.1911 3.6049
Pa 2.5281 0.0000 3.6049
Sb 0.0267 0.0000 5.4155
Sb 1.2922 2.1911 1.8148
Sb 5.0295 0.0000 1.7943
Sb 3.7640 2.1911 5.3950



Record 3
! BaSbTe2P PBE relaxed; values from VASP
! relative energy among the computed polymorphs = 0 meV/atom
! space-group type = P4/mmm
! energy relative to the elements, uncorrected = -0.352 eV/atom
! E = -3.900 eV/atom
! DOS(E_F) = 4.2 states/eV/f.u.
&SYSTEM
  ibrav = 0, nat = 5, ntyp = 4
/
ATOMIC_SPECIES
Ba 137.33 Ba.upf
Sb 121.76 Sb.upf
Te 127.60 Te.upf
P 30.97 P.upf
CELL_PARAMETERS angstrom
5.6208 0.0000 0.0000
0.0000 5.6208 0.0000
0.0000 0.0000 5.1174
ATOMIC_POSITIONS angstrom
Ba 0.0000 0.0000 0.0000
Sb 2.8104 2.8104 0.0000
Te 0.0000 2.8104 2.5587
Te 2.8104 0.0000 2.5587
P 2.8104 2.8104 2.5587



Among the records above, which one has the highest DOS(E_F)?
SmErPa2Sb4